1.
Hf5H | PBE | relaxed

a = 5.427 Å, b = 5.427 Å, c = 4.796 Å
α = 90.00°, β = 90.00°, γ = 120.00°
Atoms (fractional coordinates):
Hf1 0.000 0.678 0.000
Hf2 0.322 0.322 0.000
Hf3 0.333 0.667 0.500
Hf4 0.667 0.333 0.500
Hf5 0.678 0.000 0.000
H1 0.000 0.000 0.500

Results
Crystal system ... hexagonal
Space-group type ... P-62m (189)
Energy above the most stable polymorph in this dataset ... 0.0 meV/atom
E ... -8.354 eV per atom


2.
Pr3Cd3Ag2Au | PBE | relaxed

a = 7.965 Å, b = 7.965 Å, c = 4.114 Å
α = 90.00°, β = 90.00°, γ = 120.00°
Atoms (fractional coordinates):
Pr1 0.000 0.401 0.000
Pr2 0.401 0.000 0.000
Pr3 0.599 0.599 0.000
Cd1 0.000 0.741 0.500
Cd2 0.259 0.259 0.500
Cd3 0.741 0.000 0.500
Ag1 0.333 0.667 0.500
Ag2 0.667 0.333 0.500
Au1 0.000 0.000 0.000

Results
Crystal system ... hexagonal
Space-group type ... P-62m (189)
E ... -3.299 eV per atom
Calculated formation energy ... -40.4 kJ/mol of atoms


Repeat the second record exactly.
Pr3Cd3Ag2Au | PBE | relaxed

a = 7.965 Å, b = 7.965 Å, c = 4.114 Å
α = 90.00°, β = 90.00°, γ = 120.00°
Atoms (fractional coordinates):
Pr1 0.000 0.401 0.000
Pr2 0.401 0.000 0.000
Pr3 0.599 0.599 0.000
Cd1 0.000 0.741 0.500
Cd2 0.259 0.259 0.500
Cd3 0.741 0.000 0.500
Ag1 0.333 0.667 0.500
Ag2 0.667 0.333 0.500
Au1 0.000 0.000 0.000

Results
Crystal system ... hexagonal
Space-group type ... P-62m (189)
E ... -3.299 eV per atom
Calculated formation energy ... -40.4 kJ/mol of atoms


Question: The highest E belongs to which entry?
Answer: Pr3Cd3Ag2Au


Question: Number 1 is which compound?
Answer: Hf5H


Question: The lowest E belongs to which entry?
Answer: Hf5H